[1]
Computed, not measured: an optimized crystal structure of SrCuHg2Au at the PBE level of DFT.

The structure belongs to space group P4/mmm (No. 123); the cell edges are 5.055, 5.055 and 5.085 Å and the angles 90.00°, 90.00° and 90.00°. Symmetry generates all atoms from Sr at (0.000, 0.000, 0.000), Cu at (0.500, 0.500, 0.500), Hg at (0.000, 0.500, 0.500) and Au at (0.500, 0.500, 0.000).

The value obtained for the energy is -2.15 eV per atom. Its energy relative to the elements is -0.214 eV/atom.


[2]
Computed, not measured: an optimized crystal structure of Mn2Sb at the PBE level of DFT.

The structure belongs to space group Cmcm (No. 63); the cell edges are 2.984, 18.896 and 4.157 Å and the angles 90.00°, 90.00° and 90.00°. Symmetry generates all atoms from Mn at (0.000, 0.041, 0.250), Mn at (0.000, 0.431, 0.250) and Sb at (0.000, 0.334, 0.750).

The value obtained for the energy is -7.31 eV per atom.


[3]
Computed, not measured: an optimized crystal structure of Mg3CuSn at the PBE level of DFT.

The structure belongs to space group Pma2 (No. 28); the cell edges are 8.865, 7.702 and 3.074 Å and the angles 90.00°, 90.00° and 90.00°. Symmetry generates all atoms from Mg at (0.048, 0.213, 0.000), Mg at (0.250, 0.558, 0.000), Cu at (0.000, 0.500, 0.501) and Sn at (0.250, 0.938, 0.499).

The value obtained for the energy is -2.66 eV per atom. Its energy relative to the elements is -0.079 eV/atom.


[4]
Computed, not measured: an optimized crystal structure of Ta3SnSb at the PBE level of DFT.

The structure belongs to space group Pm-3m (No. 221); the cell edges are 5.031, 5.031 and 5.031 Å and the angles 90.00°, 90.00° and 90.00°. Symmetry generates all atoms from Ta at (0.000, 0.000, 0.500), Sn at (0.500, 0.500, 0.500) and Sb at (0.000, 0.000, 0.000).

The value obtained for the energy is -7.04 eV per atom.


[5]
Computed, not measured: an optimized crystal structure of AgPdW3 at the PBE level of DFT.

The structure belongs to space group Pm-3m (No. 221); the cell edges are 4.730, 4.730 and 4.730 Å and the angles 90.00°, 90.00° and 90.00°. Symmetry generates all atoms from Ag at (0.000, 0.000, 0.000), Pd at (0.500, 0.500, 0.500) and W at (0.000, 0.500, 0.500).

The value obtained for the energy is -7.04 eV per atom. Its energy relative to the elements is 2.341 eV/atom.


Q: Among the records above, which one has the lowest energy?
A: Mn2Sb


Q: The highest energy belongs to which entry?
A: SrCuHg2Au


Q: energy of number 3 (Mg3CuSn)?
A: -2.66 eV per atom


Q: Among the records above, which one has the highest energy?
A: SrCuHg2Au